(1)
## Ac3Zn2Ir (PBE)

Data for a geometry-optimized Ac3Zn2Ir structure.

Summary:
Energy relative to the elements ... -0.393 eV/atom

Cell lengths 12.9079, 4.2897, 13.1101 Å; angles 90.00, 90.00, 90.00 degrees
Last column: nearest neighbours and their distance in Å.
Space group Pnma (No. 62)
One atom of each set of equivalent atoms:
Ac  0.0484  0.2500  0.1333 x4  5 Zn 3.23-3.50, 1 Ir 3.38
Ac  0.1176  0.7500  0.5511 x4  3 Ir 3.12-3.30, 5 Zn 3.29-3.36
Ac  0.2269  0.2500  0.7955 x4  2 Ir 3.05, 3 Zn 3.27-3.36
Zn  0.0204  0.7500  0.3150 x4  2 Ir 2.69
Zn  0.1922  0.7500  0.9903 x4  1 Ir 2.74
Ir  0.1279  0.2500  0.3789 x4  3 Zn 2.69-2.74


(2)
## Ac2Zn5Ir (PBE)

Data for a geometry-optimized Ac2Zn5Ir structure.

Summary:
Energy relative to the elements ... -0.349 eV/atom

Cell lengths 4.4675, 16.8119, 9.3005 Å; angles 90.00, 90.00, 90.00 degrees
Last column: nearest neighbours and their distance in Å.
Space group Cmcm (No. 63)
One atom of each set of equivalent atoms:
Ac  0.0000  0.0000  0.0000 x4  10 Zn 3.31-3.59, 4 Ir 3.38
Ac  0.0000  0.1916  0.2500 x4  2 Ir 3.13, 10 Zn 3.21-3.37
Zn  0.0000  0.1871  0.6121 x8  4 Zn 2.57-2.86
Zn  0.0000  0.3483  0.5132 x8  4 Zn 2.59-2.86, 1 Ir 2.68
Zn  0.0000  0.4067  0.2500 x4  1 Ir 2.59, 2 Zn 2.64
Ir  0.0000  0.4390  0.7500 x4  3 Zn 2.59-2.68


(3)
## AcZnIr (PBE)

Data for a geometry-optimized AcZnIr structure.

Summary:
Energy relative to the elements ... -0.394 eV/atom
Energy above the lowest structure with this stoichiometry ... 156.1 meV per atom

Cell lengths 3.9129, 11.4634, 6.0412 Å; angles 90.00, 90.00, 90.00 degrees
Last column: nearest neighbours and their distance in Å.
Space group Cmcm (No. 63)
One atom of each set of equivalent atoms:
Ac  0.0000  0.1753  0.2500 x4  5 Zn 3.01-3.35, 4 Ir 3.19
Zn  0.0000  0.0877  0.7500 x4  4 Ir 2.67
Ir  0.0000  0.5000  0.0000 x4  4 Zn 2.67


(4)
## AcZnIr (PBE)

Data for a geometry-optimized AcZnIr structure.

Summary:
Energy relative to the elements ... -0.126 eV/atom
Energy above the lowest structure with this stoichiometry ... 424.3 meV per atom

Cell lengths 4.1183, 4.1183, 8.9155 Å; angles 90.00, 90.00, 90.00 degrees
Last column: nearest neighbours and their distance in Å.
Space group I4mm (No. 107)
One atom of each set of equivalent atoms:
Ac  0.0000  0.0000  0.0000 x2  5 Zn 2.98-3.27, 4 Ir 3.09
Zn  0.0000  0.0000  0.3340 x2  1 Ir 2.52
Ir  0.0000  0.0000  0.6161 x2  1 Zn 2.52


(5)
## Ac4Zn5Ir6 (PBE)

Data for a geometry-optimized Ac4Zn5Ir6 structure.

Summary:
Energy relative to the elements ... -0.323 eV/atom

Cell lengths 4.3183, 19.5714, 15.9890 Å; angles 90.00, 90.00, 90.00 degrees
Last column: nearest neighbours and their distance in Å.
Space group Cmc2_1 (No. 36)
One atom of each set of equivalent atoms:
Ac  0.0000  0.0194  0.0000 x4  7 Ir 3.09-3.42, 5 Zn 3.32-3.42
Ac  0.0000  0.0200  0.2540 x4  7 Ir 3.08-3.44, 5 Zn 3.32-3.42
Ac  0.0000  0.1743  0.4440 x4  6 Ir 3.04-3.20
Ac  0.0000  0.1738  0.8092 x4  6 Ir 3.05-3.21
Zn  0.0000  0.1539  0.1267 x4  4 Ir 2.53-2.67
Zn  0.0000  0.2999  0.1264 x4  4 Ir 2.59-2.65, 2 Zn 2.77-2.86
Zn  0.0000  0.3452  0.4927 x4  4 Ir 2.55-2.67
Zn  0.0000  0.3447  0.7606 x4  4 Ir 2.55-2.67
Zn  0.0000  0.4412  0.1275 x4  3 Ir 2.49-2.59, 1 Zn 2.77
Ir  0.0000  0.1216  0.6266 x4  4 Zn 2.49-2.65
Ir  0.0000  0.2243  0.2592 x4  4 Zn 2.53-2.59
Ir  0.0000  0.2239  0.9940 x4  4 Zn 2.53-2.59
Ir  0.0000  0.4265  0.6269 x4  5 Zn 2.59-2.67
Ir  0.0000  0.4353  0.3735 x4  1 Ir 2.55, 1 Zn 2.60
Ir  0.0000  0.4347  0.8801 x4  1 Ir 2.55, 1 Zn 2.60


(6)
## Ac2ZnIr (PBE)

Data for a geometry-optimized Ac2ZnIr structure.

Summary:
Energy relative to the elements ... -0.199 eV/atom
Energy above the lowest structure with this stoichiometry ... 286.7 meV per atom

Cell lengths 4.3676, 4.3676, 30.2437 Å; angles 90.00, 90.00, 120.00 degrees
Last column: nearest neighbours and their distance in Å.
Space group R-3m (No. 166, hexagonal axes)
One atom of each set of equivalent atoms:
Ac  0.0000  0.0000  0.1148 x6  3 Ir 2.97
Zn  0.0000  0.0000  0.0000 x3  2 Ac 3.47
Ir  0.0000  0.0000  0.5000 x3  6 Ac 2.97


(7)
## Ac2ZnIr (PBE)

Data for a geometry-optimized Ac2ZnIr structure.

Summary:
Energy relative to the elements ... -0.431 eV/atom
Energy above the lowest structure with this stoichiometry ... 54.8 meV per atom

Cell lengths 4.4000, 4.4000, 23.2213 Å; angles 90.00, 90.00, 120.00 degrees
Last column: nearest neighbours and their distance in Å.
Space group R3m (No. 160, hexagonal axes)
One atom of each set of equivalent atoms:
Ac  0.0000  0.0000  0.0000 x3  3 Ir 3.02
Ac  0.0000  0.0000  0.1959 x3  3 Ir 2.98
Zn  0.0000  0.0000  0.4324 x3  6 Ac 3.39-3.43
Ir  0.0000  0.0000  0.5964 x3  6 Ac 2.98-3.02


(8)
## Ac6ZnIr2 (PBE)

Data for a geometry-optimized Ac6ZnIr2 structure.

Summary:
Energy relative to the elements ... -0.388 eV/atom

Cell lengths 13.7601, 4.3527, 12.4892 Å; angles 90.00, 109.38, 90.00 degrees
Last column: nearest neighbours and their distance in Å.
Space group C2/m (No. 12)
One atom of each set of equivalent atoms:
Ac  0.0205  0.0000  0.2649 x4  2 Ir 2.95, 1 Zn 3.23
Ac  0.1701  0.5000  0.5776 x4  3 Ir 3.00-3.03
Ac  0.1861  0.5000  0.1079 x4  1 Ir 2.91
Zn  0.0000  0.0000  0.0000 x2  6 Ac 3.23-3.29
Ir  0.1730  0.5000  0.3361 x4  6 Ac 2.91-3.03


(9)
## Ac4ZnIr2 (PBE)

Data for a geometry-optimized Ac4ZnIr2 structure.

Summary:
Energy relative to the elements ... -0.439 eV/atom
Energy above the lowest structure with this stoichiometry ... 88.2 meV per atom

Cell lengths 5.0441, 5.0441, 30.0060 Å; angles 90.00, 90.00, 120.00 degrees
Last column: nearest neighbours and their distance in Å.
Space group R-3m (No. 166, hexagonal axes)
One atom of each set of equivalent atoms:
Ac  0.0000  0.0000  0.1173 x6  3 Ir 3.16, 3 Zn 3.27
Ac  0.0000  0.0000  0.2945 x6  4 Ir 3.13-3.46
Zn  0.0000  0.0000  0.5000 x3  2 Ir 2.70
Ir  0.0000  0.0000  0.4100 x6  1 Zn 2.70


(10)
## Ac2ZnIr2 (PBE)

Data for a geometry-optimized Ac2ZnIr2 structure.

Summary:
Energy relative to the elements ... -0.535 eV/atom
Energy above the lowest structure with this stoichiometry ... 27.8 meV per atom

Cell lengths 11.6715, 4.3951, 10.9699 Å; angles 90.00, 116.30, 90.00 degrees
Last column: nearest neighbours and their distance in Å.
Space group C2/m (No. 12)
One atom of each set of equivalent atoms:
Ac  0.0987  0.0000  0.4060 x4  4 Ir 3.04-3.23, 2 Zn 3.30
Ac  0.2038  0.5000  0.1560 x4  4 Zn 3.25-3.46, 7 Ir 3.27-3.45
Zn  0.0827  0.5000  0.8223 x4  3 Ir 2.54-2.62
Ir  0.0464  0.0000  0.9167 x4  1 Ir 2.50, 2 Zn 2.54
Ir  0.1319  0.5000  0.6111 x4  1 Zn 2.62


(11)
## AcZrZnIr (PBE)

Data for a geometry-optimized AcZrZnIr structure.

Summary:
Energy relative to the elements ... -0.167 eV/atom

Cell lengths 7.1413, 7.1413, 7.1413 Å; angles 90.00, 90.00, 90.00 degrees
Last column: nearest neighbours and their distance in Å.
Space group F-43m (No. 216)
One atom of each set of equivalent atoms:
Ac  0.0000  0.0000  0.0000 x4  4 Ir 3.09, 4 Zn 3.09
Zr  0.0000  0.0000  0.5000 x4  4 Ir 3.09, 4 Zn 3.09
Zn  0.2500  0.2500  0.7500 x4  4 Zr 3.09, 4 Ac 3.09
Ir  0.2500  0.2500  0.2500 x4  4 Zr 3.09, 4 Ac 3.09


(12)
## AcZrIr (PBE)

Data for a geometry-optimized AcZrIr structure.

Summary:
Energy relative to the elements ... -0.623 eV/atom

Cell lengths 4.7503, 4.7503, 7.0633 Å; angles 90.00, 90.00, 90.00 degrees
Last column: nearest neighbours and their distance in Å.
Space group P4/nmm (No. 129, origin choice 2)
One atom of each set of equivalent atoms:
Ac  0.2500  0.2500  0.1293 x2  1 Ir 3.11
Zr  0.2500  0.7500  0.5000 x2  4 Ir 2.73
Ir  0.2500  0.2500  0.6892 x2  4 Zr 2.73


(13)
## Ac12ZrIr7 (PBE)

Data for a geometry-optimized Ac12ZrIr7 structure.

Summary:
Energy relative to the elements ... -0.535 eV/atom

Cell lengths 15.4359, 15.4359, 10.3159 Å; angles 90.00, 90.00, 120.00 degrees
Last column: nearest neighbours and their distance in Å.
Space group R-3 (No. 148, hexagonal axes)
One atom of each set of equivalent atoms:
Ac  0.0181  0.5813  0.1593 x18  3 Ir 2.93-3.05
Ac  0.0457  0.1663  0.8160 x18  3 Ir 2.94-2.99
Zr  0.0000  0.0000  0.5000 x3  6 Ir 2.84
Ir  0.0000  0.0000  0.0000 x3  6 Ac 2.98
Ir  0.0456  0.1753  0.3572 x18  1 Zr 2.84, 5 Ac 2.93-3.05


(14)
## AcZr2Ir2 (PBE)

Data for a geometry-optimized AcZr2Ir2 structure.

Summary:
Energy relative to the elements ... -0.761 eV/atom

Cell lengths 4.6008, 4.6008, 11.2074 Å; angles 90.00, 90.00, 90.00 degrees
Last column: nearest neighbours and their distance in Å.
Space group I4/mmm (No. 139)
One atom of each set of equivalent atoms:
Ac  0.0000  0.0000  0.0000 x2  8 Ir 3.52, 8 Zr 3.63
Zr  0.0000  0.5000  0.2500 x4  4 Ir 2.72
Ir  0.0000  0.0000  0.3797 x4  1 Ir 2.70, 4 Zr 2.72


(15)
## K6Ac (PBE)

Data for a geometry-optimized K6Ac structure.

Summary:
Energy relative to the elements ... 0.612 eV/atom

Cell lengths 10.2395, 10.2395, 10.2395 Å; angles 90.00, 90.00, 90.00 degrees
Last column: nearest neighbours and their distance in Å.
Space group Im-3m (No. 229)
One atom of each set of equivalent atoms:
K  0.0000  0.2500  0.5000 x12  4 K 3.62
Ac  0.0000  0.0000  0.0000 x2  24 K 5.72


(16)
## KAc3 (PBE)

Data for a geometry-optimized KAc3 structure.

Summary:
Energy relative to the elements ... 0.319 eV/atom
Energy above the lowest structure with this stoichiometry ... 0.0 meV per atom

Cell lengths 5.7486, 5.7486, 5.7486 Å; angles 90.00, 90.00, 90.00 degrees
Last column: nearest neighbours and their distance in Å.
Space group Pm-3m (No. 221)
One atom of each set of equivalent atoms:
K  0.0000  0.0000  0.0000 x1  12 Ac 4.06
Ac  0.0000  0.5000  0.5000 x3  8 Ac 4.06, 4 K 4.06


(17)
## KAc3 (PBE)

Data for a geometry-optimized KAc3 structure.

Summary:
Energy relative to the elements ... 0.327 eV/atom
Energy above the lowest structure with this stoichiometry ... 7.7 meV per atom

Cell lengths 9.1361, 9.1361, 9.1361 Å; angles 90.00, 90.00, 90.00 degrees
Last column: nearest neighbours and their distance in Å.
Space group Fm-3m (No. 225)
One atom of each set of equivalent atoms:
K  0.0000  0.0000  0.0000 x4  8 Ac 3.96
Ac  0.0000  0.0000  0.5000 x4  8 Ac 3.96
Ac  0.2500  0.2500  0.2500 x8  4 Ac 3.96, 4 K 3.96


(18)
## KAc2 (PBE)

Data for a geometry-optimized KAc2 structure.

Summary:
Energy relative to the elements ... 0.408 eV/atom

Cell lengths 10.9909, 10.9909, 10.9909 Å; angles 90.00, 90.00, 90.00 degrees
Last column: nearest neighbours and their distance in Å.
Space group Fd-3m (No. 227, origin choice 2)
One atom of each set of equivalent atoms:
K  0.1250  0.1250  0.1250 x8  12 Ac 4.56, 4 K 4.76
Ac  0.0000  0.0000  0.5000 x16  6 Ac 3.89


(19)
## KAc4 (PBE)

Data for a geometry-optimized KAc4 structure.

Summary:
Energy relative to the elements ... 0.816 eV/atom

Cell lengths 6.2466, 6.2466, 6.2466 Å; angles 90.00, 90.00, 90.00 degrees
Last column: nearest neighbours and their distance in Å.
Space group Pm-3m (No. 221)
One atom of each set of equivalent atoms:
K  0.0000  0.0000  0.0000 x1  6 Ac 3.12
Ac  0.0000  0.0000  0.5000 x3  2 K 3.12
Ac  0.5000  0.5000  0.5000 x1  12 Ac 4.42


(20)
## KAcLa (PBE)

Data for a geometry-optimized KAcLa structure.

Summary:
Energy relative to the elements ... 0.116 eV/atom

Cell lengths 6.9247, 3.9936, 20.8866 Å; angles 90.00, 96.83, 90.00 degrees
Last column: nearest neighbours and their distance in Å.
Space group Cm (No. 8)
One atom of each set of equivalent atoms:
K  0.0000  0.0000  0.0000 x2  6 K 3.99-4.00, 3 Ac 4.39-4.42
K  0.1146  0.5000  0.7999 x2  6 K 3.99-4.00, 3 Ac 4.39-4.41
Ac  0.2197  0.0000  0.6192 x2  3 La 3.78-3.79, 6 Ac 3.99-4.00
Ac  0.3926  0.0000  0.1810 x2  3 La 3.78-3.79, 6 Ac 3.99-4.00
La  0.9999  0.5000  0.4744 x2  3 Ac 3.78-3.79, 9 La 3.85-4.00
La  0.1118  0.0000  0.3258 x2  3 Ac 3.78-3.79, 9 La 3.85-4.00


(21)
## K3Ac3LaO8 (PBE)

Data for a geometry-optimized K3Ac3LaO8 structure.

Summary:
Formation energy from raw total energies ... -246.93 kJ per mole of atoms

Cell lengths 7.6669, 7.6669, 19.1151 Å; angles 90.00, 90.00, 120.00 degrees
Last column: nearest neighbours and their distance in Å.
Space group R-3m (No. 166, hexagonal axes)
One atom of each set of equivalent atoms:
K  0.0000  0.5000  0.0000 x9  6 O 2.94-2.97
Ac  0.0000  0.5000  0.5000 x9  6 O 2.54
La  0.0000  0.0000  0.5000 x3  6 O 2.42
O  0.0000  0.0000  0.2317 x6  3 Ac 2.54
O  0.0137  0.5069  0.2274 x18  1 La 2.42, 2 Ac 2.54


(22)
## K2AcLaO4 (PBE)

Data for a geometry-optimized K2AcLaO4 structure.

Summary:
Formation energy from raw total energies ... -251.72 kJ per mole of atoms

Cell lengths 6.5836, 3.7975, 6.6943 Å; angles 90.00, 109.16, 90.00 degrees
Last column: nearest neighbours and their distance in Å.
Space group P2/m (No. 10)
One atom of each set of equivalent atoms:
K  0.0000  0.0000  0.0000 x1  6 O 2.95-2.96
K  0.5000  0.5000  0.0000 x1  6 O 2.91
Ac  0.0000  0.5000  0.5000 x1  6 O 2.53-2.54
La  0.5000  0.0000  0.5000 x1  6 O 2.48-2.49
O  0.2383  0.0000  0.6943 x2  1 La 2.48, 2 Ac 2.53
O  0.2753  0.5000  0.3085 x2  2 La 2.49, 1 Ac 2.54


(23)
## KAc4LaO8 (PBE)

Data for a geometry-optimized KAc4LaO8 structure.

Summary:
Formation energy from raw total energies ... -294.17 kJ per mole of atoms

Cell lengths 7.6077, 7.6077, 18.3616 Å; angles 90.00, 90.00, 120.00 degrees
Last column: nearest neighbours and their distance in Å.
Space group R3m (No. 160, hexagonal axes)
One atom of each set of equivalent atoms:
K  0.0000  0.0000  0.0000 x3  4 O 2.69-2.75
Ac  0.0000  0.0000  0.2500 x3  4 O 2.42-2.46
Ac  0.1690  0.3381  0.4584 x9  6 O 2.44-2.63
La  0.0000  0.0000  0.6291 x3  6 O 2.35-2.63
O  0.0000  0.0000  0.3820 x3  4 Ac 2.42-2.63
O  0.0000  0.0000  0.8536 x3  3 Ac 2.44, 1 K 2.69
O  0.0641  0.5321  0.3799 x9  1 La 2.35, 2 Ac 2.46
O  0.1765  0.3531  0.2069 x9  3 Ac 2.46-2.62, 1 La 2.63